No. 1
The following is a meta-GGA SCAN calculation of a PBEsol-optimized structure of LiZn2W, from the Alexandria database.

SG: R-3m
Energy relative to the lowest polymorph listed for this composition, eV/atom: 0.059

Lattice parameters (Å, degrees): 2.729 2.729 9.254 81.52 81.52 60.00
Fractional positions:
Zn  0.751  0.751  0.748
Zn  0.249  0.249  0.252
W  0.000  0.000  0.000
Li  0.500  0.500  0.500

=====

No. 2
The following is a meta-GGA SCAN calculation of a PBEsol-optimized structure of Li2ZrW, from the Alexandria database.

SG: Pm
Energy relative to the lowest polymorph listed for this composition, eV/atom: 0.033

Lattice parameters (Å, degrees): 2.582 4.570 5.959 90.00 102.42 90.00
Fractional positions:
W  0.561  0.000  0.497
Zr  0.179  0.500  0.732
Li  0.934  0.500  0.251
Li  0.826  0.000  0.020

=====

No. 3
The following is a meta-GGA SCAN calculation of a PBEsol-optimized structure of Li2ZrW, from the Alexandria database.

SG: Cm
Energy relative to the lowest polymorph listed for this composition, eV/atom: 0.085

Lattice parameters (Å, degrees): 2.717 5.230 5.349 112.75 90.00 105.05
Fractional positions:
Zr  0.248  0.496  0.672
W  0.492  0.983  0.571
Li  0.751  0.501  0.165
Li  0.010  0.019  0.092

=====

No. 4
The following is a meta-GGA SCAN calculation of a PBEsol-optimized structure of Li2ZrW, from the Alexandria database.

SG: Immm
Energy relative to the lowest polymorph listed for this composition, eV/atom: 0.009

Lattice parameters (Å, degrees): 3.011 4.453 5.891 112.20 104.81 90.00
Fractional positions:
Li  0.736  0.736  0.472
Li  0.264  0.264  0.528
W  0.000  0.500  0.000
Zr  0.500  0.000  0.000

=====

No. 5
The following is a meta-GGA SCAN calculation of a PBEsol-optimized structure of Li2ZrW, from the Alexandria database.

SG: P2/m
Energy relative to the lowest polymorph listed for this composition, eV/atom: 0.000

Lattice parameters (Å, degrees): 2.653 5.098 5.157 90.00 90.00 98.60
Fractional positions:
Li  0.255  0.273  0.000
Li  0.745  0.727  0.000
W  0.000  0.500  0.500
Zr  0.500  0.000  0.500

=====

No. 6
The following is a meta-GGA SCAN calculation of a PBEsol-optimized structure of Li2ZrW, from the Alexandria database.

SG: P4/mmm
Energy relative to the lowest polymorph listed for this composition, eV/atom: 0.199

Lattice parameters (Å, degrees): 3.754 3.754 4.898 90.00 90.00 90.00
Fractional positions:
W  0.500  0.500  0.500
Zr  0.000  0.000  0.500
Li  0.500  0.000  0.000
Li  0.000  0.500  0.000

=====

No. 7
The following is a meta-GGA SCAN calculation of a PBEsol-optimized structure of LiZrW3, from the Alexandria database.

SG: Pm-3m

Lattice parameters (Å, degrees): 4.314 4.314 4.314 90.00 90.00 90.00
Fractional positions:
W  0.500  0.000  0.000
W  0.000  0.500  0.000
W  0.000  0.000  0.500
Li  0.000  0.000  0.000
Zr  0.500  0.500  0.500

=====

No. 8
The following is a meta-GGA SCAN calculation of a PBEsol-optimized structure of LiY5, from the Alexandria database.

SG: Amm2
Energy relative to the lowest polymorph listed for this composition, eV/atom: 0.037

Lattice parameters (Å, degrees): 3.555 5.573 9.096 90.00 101.27 90.00
Fractional positions:
Y  0.780  0.500  0.560
Y  0.450  0.500  0.900
Y  0.332  0.000  0.664
Y  0.661  0.000  0.323
Y  0.112  0.500  0.224
Li  0.998  0.000  0.996

=====

Calculated total magnetization in order - 0.0, 0.0, 0.0, 0.0, 0.0, 0.0, 0.0, 0.0 μB/cell
Calculated energy of formation in order - 0.119, 0.458, 0.510, 0.434, 0.425, 0.623, 1.374, 0.098 eV/atom